Entry from Alexandria via LeMat-Bulk: an optimized crystal structure of Nd2ZnPd4 (GGA-PBE).

Unit cell a=6.2388 b=5.9915 c=5.9726 alpha=62.86 beta=58.72 gamma=58.42
Last column: nearest neighbours and their distance in Å.
Fractional positions:
Nd 0.2500 0.2500 0.2500  8 Pd 3.00-3.01
Nd 0.7500 0.7500 0.7500  8 Pd 3.00-3.01
Zn 0.0000 0.0000 0.0000  4 Pd 2.50
Pd 0.2821 0.2821 0.7179  1 Zn 2.50, 2 Pd 2.70
Pd 0.2843 0.7157 0.2843  1 Zn 2.50, 2 Pd 2.70
Pd 0.7157 0.2843 0.7157  1 Zn 2.50, 2 Pd 2.70
Pd 0.7179 0.7179 0.2821  1 Zn 2.50, 2 Pd 2.70

Output
- Distance to the lowest polymorph of the same formula: 0.26 eV per formula unit
- Total energy: -5.09 eV/atom
- Crystal system: orthorhombic
- E_form: -0.575 eV/atom

Entry from Alexandria via LeMat-Bulk: an optimized crystal structure of Nd3Zn7Pd4 (GGA-PBE).

Unit cell a=8.1024 b=8.1024 c=9.3786 alpha=122.90 beta=122.90 gamma=31.65
Last column: nearest neighbours and their distance in Å.
Fractional positions:
Nd 0.0000 0.0000 0.0000  6 Pd 2.99-3.33, 2 Zn 3.22
Nd 0.3018 0.3018 0.2981  4 Pd 3.05-3.13, 10 Zn 3.12-3.38
Nd 0.6982 0.6982 0.7019  4 Pd 3.05-3.13, 10 Zn 3.12-3.38
Zn 0.0000 0.0000 0.5000  2 Pd 2.60, 2 Zn 2.67
Zn 0.1373 0.1373 0.4156  3 Pd 2.64-2.73, 3 Zn 2.67-2.81
Zn 0.3265 0.3265 0.9797  4 Pd 2.63-2.73, 1 Zn 2.69
Zn 0.4975 0.4975 0.7003  3 Pd 2.57-2.71, 3 Zn 2.69-2.81
Zn 0.5025 0.5025 0.2997  3 Pd 2.57-2.71, 3 Zn 2.69-2.81
Zn 0.6735 0.6735 0.0203  4 Pd 2.63-2.73, 1 Zn 2.69
Zn 0.8627 0.8627 0.5844  3 Pd 2.64-2.73, 3 Zn 2.67-2.81
Pd 0.1177 0.1177 0.8352  6 Zn 2.60-2.73
Pd 0.3348 0.3348 0.7072  5 Zn 2.57-2.73
Pd 0.6652 0.6652 0.2928  5 Zn 2.57-2.73
Pd 0.8823 0.8823 0.1648  6 Zn 2.60-2.73

Output
- Total energy: -3.72 eV/atom
- Crystal system: monoclinic
- E_form: -0.575 eV/atom

Entry from Alexandria via LeMat-Bulk: an optimized crystal structure of Nd2Zn3Pd (GGA-PBE).

Unit cell a=3.7262 b=4.5102 c=7.8291 alpha=90.00 beta=90.00 gamma=90.00
Last column: nearest neighbours and their distance in Å.
Fractional positions:
Nd 0.0000 0.0000 0.0000  2 Pd 3.13, 10 Zn 3.14-3.26
Nd 0.0000 0.5000 0.4712  4 Pd 3.15, 8 Zn 3.17-3.28
Zn 0.5000 0.0000 0.6596  2 Zn 2.56, 1 Pd 2.65
Zn 0.5000 0.5000 0.1443  1 Zn 2.58, 2 Pd 2.65
Zn 0.5000 0.5000 0.8152  3 Zn 2.56-2.58
Pd 0.5000 0.0000 0.3217  3 Zn 2.65

Output
- Total energy: -3.59 eV/atom
- Crystal system: orthorhombic
- E_form: -0.501 eV/atom

Entry from Alexandria via LeMat-Bulk: an optimized crystal structure of Nd2ZnPd2 (GGA-PBE).

Unit cell a=7.3956 b=7.3956 c=7.3956 alpha=123.12 beta=77.51 gamma=132.06
Last column: nearest neighbours and their distance in Å.
Fractional positions:
Nd 0.1425 0.1726 0.3151  5 Pd 2.89-3.08, 2 Zn 3.21
Nd 0.3575 0.6726 0.0301  5 Pd 2.89-3.08, 2 Zn 3.21
Nd 0.6425 0.3274 0.9699  5 Pd 2.89-3.08, 2 Zn 3.21
Nd 0.8575 0.8274 0.6849  5 Pd 2.89-3.08, 2 Zn 3.21
Zn 0.2500 0.7500 0.5000  4 Pd 2.63
Zn 0.7500 0.2500 0.5000  4 Pd 2.63
Pd 0.1115 0.7472 0.8586  2 Zn 2.63, 1 Nd 2.89
Pd 0.3885 0.2472 0.6357  2 Zn 2.63, 1 Nd 2.89
Pd 0.6115 0.7528 0.3643  2 Zn 2.63, 1 Nd 2.89
Pd 0.8885 0.2528 0.1414  2 Zn 2.63, 1 Nd 2.89

Output
- Total energy: -4.84 eV/atom
- Crystal system: orthorhombic
- E_form: -0.599 eV/atom